(1)
The following is a DFT calculation (GGA-PBE) of NaGa2Bi after structural relaxation.

**Spin magnetization**: 0.0 μB/f.u.
**Volume**: 24.08 Å³ per atom
**Electronic total energy**: -2.8628 eV/atom
**Mass density**: 6.404 g cm⁻³
**Formation enthalpy at 0 K**: -0.0494 eV/atom

```
data_NaGa2Bi
_chemical_formula_sum 'Na1 Ga2 Bi1'
_cell_length_a 4.6045
_cell_length_b 4.6045
_cell_length_c 4.5422
_cell_angle_alpha 90.00
_cell_angle_beta 90.00
_cell_angle_gamma 90.00
_symmetry_space_group_name_H-M 'P 4/m m m'
_symmetry_Int_Tables_number 123
_symmetry_space_group_name_Hall '-P 4 2'
loop_
_atom_site_label
_atom_site_type_symbol
_atom_site_fract_x
_atom_site_fract_y
_atom_site_fract_z
Na1 Na 0.0000 0.0000 0.0000
Ga1 Ga 0.0000 0.5000 0.5000
Bi1 Bi 0.5000 0.5000 0.0000
```

(2)
The following is a DFT calculation (GGA-PBE) of ReAu after structural relaxation.

**Spin magnetization**: 2.1 μB/f.u.
**Volume**: 19.39 Å³ per atom
**Electronic total energy**: -6.1344 eV/atom
**Polymorph energy (0 for the lowest one)**: 1584 meV/atom
**Mass density**: 16.409 g cm⁻³
**Formation enthalpy at 0 K**: 1.7283 eV/atom

```
data_ReAu
_chemical_formula_sum 'Re4 Au4'
_cell_length_a 5.3729
_cell_length_b 5.3729
_cell_length_c 5.3729
_cell_angle_alpha 90.00
_cell_angle_beta 90.00
_cell_angle_gamma 90.00
_symmetry_space_group_name_H-M 'F m -3 m'
_symmetry_Int_Tables_number 225
_symmetry_space_group_name_Hall '-F 4 2 3'
loop_
_atom_site_label
_atom_site_type_symbol
_atom_site_fract_x
_atom_site_fract_y
_atom_site_fract_z
Re1 Re 0.0000 0.0000 0.0000
Au1 Au 0.0000 0.0000 0.5000
```

(3)
The following is a DFT calculation (GGA-PBE) of CdAgRu2 after structural relaxation.

**Spin magnetization**: 0.0 μB/f.u.
**Volume**: 16.14 Å³ per atom
**Electronic total energy**: -5.0870 eV/atom
**Mass density**: 10.866 g cm⁻³
**Formation enthalpy at 0 K**: 0.4925 eV/atom

```
data_CdAgRu2
_chemical_formula_sum 'Cd2 Ag2 Ru4'
_cell_length_a 4.1184
_cell_length_b 4.1184
_cell_length_c 7.6120
_cell_angle_alpha 90.00
_cell_angle_beta 90.00
_cell_angle_gamma 90.00
_symmetry_space_group_name_H-M 'I -4 m 2'
_symmetry_Int_Tables_number 119
_symmetry_space_group_name_Hall 'I -4 -2'
loop_
_atom_site_label
_atom_site_type_symbol
_atom_site_fract_x
_atom_site_fract_y
_atom_site_fract_z
Cd1 Cd 0.0000 0.0000 0.0000
Ag1 Ag 0.0000 0.5000 0.2500
Ru1 Ru 0.0000 0.0000 0.5000
Ru2 Ru 0.0000 0.5000 0.7500
```

(4)
The following is a DFT calculation (GGA-PBE) of PaAgSb2 after structural relaxation.

**Spin magnetization**: 0.0 μB/f.u.
**E_form (uncorrected)**: -0.37 eV/atom
**Volume**: 23.94 Å³ per atom
**Electronic total energy**: -5.5166 eV/atom
**Mass density**: 10.100 g cm⁻³

```
data_PaAgSb2
_chemical_formula_sum 'Pa1 Ag1 Sb2'
_cell_length_a 4.8674
_cell_length_b 4.8674
_cell_length_c 4.0418
_cell_angle_alpha 90.00
_cell_angle_beta 90.00
_cell_angle_gamma 90.00
_symmetry_space_group_name_H-M 'P 4/m m m'
_symmetry_Int_Tables_number 123
_symmetry_space_group_name_Hall '-P 4 2'
loop_
_atom_site_label
_atom_site_type_symbol
_atom_site_fract_x
_atom_site_fract_y
_atom_site_fract_z
Pa1 Pa 0.0000 0.0000 0.0000
Ag1 Ag 0.5000 0.5000 0.0000
Sb1 Sb 0.0000 0.5000 0.5000
```

(5)
The following is a DFT calculation (GGA-PBE) of Sn2Pd2Au after structural relaxation.

**Spin magnetization**: 0.0 μB/f.u.
**Volume**: 20.22 Å³ per atom
**Electronic total energy**: -4.6469 eV/atom
**Polymorph energy (0 for the lowest one)**: 77 meV/atom
**Mass density**: 10.632 g cm⁻³
**Formation enthalpy at 0 K**: -0.3132 eV/atom

```
data_Sn2Pd2Au
_chemical_formula_sum 'Sn2 Pd2 Au1'
_cell_length_a 3.3907
_cell_length_b 4.5762
_cell_length_c 7.3600
_cell_angle_alpha 98.91
_cell_angle_beta 102.92
_cell_angle_gamma 110.15
_symmetry_space_group_name_H-M 'P -1'
_symmetry_Int_Tables_number 2
loop_
_symmetry_equiv_pos_as_xyz
'x,y,z'
'-x,-y,-z'
loop_
_atom_site_label
_atom_site_type_symbol
_atom_site_fract_x
_atom_site_fract_y
_atom_site_fract_z
Sn1 Sn 0.1165 0.4575 0.2507
Pd1 Pd 0.2868 0.1780 0.9010
Au1 Au 0.0000 0.0000 0.5000
```

(6)
The following is a DFT calculation (GGA-PBE) of LiCeSeO after structural relaxation.

**Spin magnetization**: 1.0 μB/f.u.
**E_form (uncorrected)**: -2.32 eV/atom
**Volume**: 18.32 Å³ per atom
**Electronic total energy**: -6.3895 eV/atom
**Mass density**: 5.485 g cm⁻³

```
data_LiCeSeO
_chemical_formula_sum 'Li2 Ce2 Se2 O2'
_cell_length_a 4.0177
_cell_length_b 4.0177
_cell_length_c 9.0780
_cell_angle_alpha 90.00
_cell_angle_beta 90.00
_cell_angle_gamma 90.00
_symmetry_space_group_name_H-M 'P 4/n m m'
_symmetry_Int_Tables_number 129
loop_
_symmetry_equiv_pos_as_xyz
'x,y,z'
'-x,-y,-z'
'-y+1/2,x,z'
'y+1/2,-x,-z'
'-x+1/2,-y+1/2,z'
'x+1/2,y+1/2,-z'
'y,-x+1/2,z'
'-y,x+1/2,-z'
'x+1/2,-y,-z'
'-x+1/2,y,z'
'-y,-x,-z'
'y,x,z'
'-x,y+1/2,-z'
'x,-y+1/2,z'
'y+1/2,x+1/2,-z'
'-y+1/2,-x+1/2,z'
loop_
_atom_site_label
_atom_site_type_symbol
_atom_site_fract_x
_atom_site_fract_y
_atom_site_fract_z
Li1 Li 0.2500 0.7500 0.0000
Ce1 Ce 0.2500 0.2500 0.3658
Se1 Se 0.2500 0.2500 0.8255
O1 O 0.2500 0.7500 0.5000
```

(7)
The following is a DFT calculation (GGA-PBE) of GeSbHBr2 after structural relaxation.

**Spin magnetization**: 0.0 μB/f.u.
**Volume**: 21.62 Å³ per atom
**Electronic total energy**: -2.7851 eV/atom
**Mass density**: 5.457 g cm⁻³

```
data_GeSbHBr2
_chemical_formula_sum 'Ge1 Sb1 H1 Br2'
_cell_length_a 5.5106
_cell_length_b 5.5106
_cell_length_c 3.5592
_cell_angle_alpha 90.00
_cell_angle_beta 90.00
_cell_angle_gamma 90.00
_symmetry_space_group_name_H-M 'P 4/m m m'
_symmetry_Int_Tables_number 123
_symmetry_space_group_name_Hall '-P 4 2'
loop_
_atom_site_label
_atom_site_type_symbol
_atom_site_fract_x
_atom_site_fract_y
_atom_site_fract_z
Ge1 Ge 0.0000 0.0000 0.0000
Sb1 Sb 0.5000 0.5000 0.0000
H1 H 0.0000 0.0000 0.5000
Br1 Br 0.0000 0.5000 0.5000
```

(8)
The following is a DFT calculation (GGA-PBE) of Sc5InRu after structural relaxation.

**Spin magnetization**: 0.0 μB/f.u.
**Volume**: 22.35 Å³ per atom
**Electronic total energy**: -6.4402 eV/atom
**Mass density**: 4.677 g cm⁻³
**Formation enthalpy at 0 K**: -0.2013 eV/atom

```
data_Sc5InRu
_chemical_formula_sum 'Sc20 In4 Ru4'
_cell_length_a 8.1489
_cell_length_b 7.0764
_cell_length_c 11.2307
_cell_angle_alpha 90.00
_cell_angle_beta 104.90
_cell_angle_gamma 90.00
_symmetry_space_group_name_H-M 'C 1 2/c 1'
_symmetry_Int_Tables_number 15
loop_
_symmetry_equiv_pos_as_xyz
'x,y,z'
'-x,-y,-z'
'-x,y,-z+1/2'
'x,-y,z+1/2'
'x+1/2,y+1/2,z'
'-x+1/2,-y+1/2,-z'
'-x+1/2,y+1/2,-z+1/2'
'x+1/2,-y+1/2,z+1/2'
loop_
_atom_site_label
_atom_site_type_symbol
_atom_site_fract_x
_atom_site_fract_y
_atom_site_fract_z
Sc1 Sc 0.0000 0.0199 0.2500
Sc2 Sc 0.1342 0.3362 0.0709
Sc3 Sc 0.2493 0.3272 0.3791
In1 In 0.0000 0.3897 0.7500
Ru1 Ru 0.0000 0.0000 0.0000
```